[1]
The following is a PBE calculation of TcSnW3 after structural relaxation, from the Alexandria database.

Properties
Calculated total energy ... -0.65078 Ry/atom
Formation energy from the elements ... 1.791 eV per atom
Space-group type ... Pm-3m, No. 221
Theoretical density ... 11.96 g cm⁻³

Lattice parameters (Å, degrees): 4.742 4.742 4.742 90.00 90.00 90.00
Positions (direct):
Tc (0.000, 0.000, 0.000)
Sn (0.500, 0.500, 0.500)
W (0.000, 0.000, 0.500)
W (0.000, 0.500, 0.000)
W (0.500, 0.000, 0.000)

[2]
The following is a PBE calculation of Ba2CuIrO4 after structural relaxation, from the Alexandria database.

Properties
Calculated total energy ... -0.43005 Ry/atom
Space-group type ... Fddd, No. 70
Theoretical density ... 6.82 g cm⁻³
Formation energy (no corrections) ... -122.7 kJ per mole of atoms

Lattice parameters (Å, degrees): 11.353 9.768 6.736 84.82 58.96 36.22
Positions (direct):
Ba (0.048, 0.048, 0.702)
Ba (0.298, 0.298, 0.952)
Ba (0.702, 0.702, 0.048)
Ba (0.952, 0.952, 0.298)
Cu (0.375, 0.375, 0.375)
Cu (0.625, 0.625, 0.625)
Ir (0.125, 0.125, 0.125)
Ir (0.875, 0.875, 0.875)
O (0.109, 0.232, 0.388)
O (0.228, 0.612, 0.768)
O (0.232, 0.109, 0.772)
O (0.388, 0.772, 0.109)
O (0.612, 0.228, 0.891)
O (0.768, 0.891, 0.228)
O (0.772, 0.388, 0.232)
O (0.891, 0.768, 0.612)

Which of these has the lowest calculated total energy? TcSnW3

Among the records above, which one has the highest calculated total energy? Ba2CuIrO4

What is the calculated total energy in the first record? -0.65078 Ry/atom